Entry 1:
{"formula": "Ta2CdBr", "functional": "PBE", "state": "relaxed", "de_polymorph_kj_per_mol_fu": 64, "raw_formation_energy_mev_per_atom": 312, "lattice_angstrom": [[3.3502, 0.0000, 0.0000], [0.0000, 3.3502, 0.0000], [0.0000, 0.0000, 8.3796]], "species": ["Cd", "Br", "Ta", "Ta"], "frac_coords": [[0.5000, 0.5000, 0.8127], [0.0000, 0.0000, 0.4377], [0.0000, 0.0000, 0.0414], [0.5000, 0.5000, 0.2082]]}



Entry 2:
{"formula": "TaCdBr3", "functional": "PBE", "state": "relaxed", "de_polymorph_kj_per_mol_fu": 408, "raw_formation_energy_mev_per_atom": 726, "lattice_angstrom": [[-1.9134, 4.8559, -1.4987], [-4.7583, -1.1496, 2.3502], [1.7843, 2.1414, 4.6602]], "species": ["Ta", "Cd", "Br", "Br", "Br"], "frac_coords": [[0.5000, 0.5000, 0.5000], [0.0000, 0.0000, 0.0000], [0.0000, 0.5000, 0.0000], [0.0000, 0.0000, 0.5000], [0.5000, 0.0000, 0.0000]]}



Entry 3:
{"formula": "TaCdBr2", "functional": "PBE", "state": "relaxed", "de_polymorph_kj_per_mol_fu": 346, "raw_formation_energy_mev_per_atom": 688, "lattice_angstrom": [[5.2881, 0.0000, 0.0000], [0.0000, 5.2881, 0.0000], [0.0000, 0.0000, 3.2838]], "species": ["Cd", "Br", "Br", "Ta"], "frac_coords": [[0.5000, 0.0000, 0.5000], [0.0000, 0.0000, 0.0000], [0.5000, 0.5000, 0.0000], [0.0000, 0.5000, 0.5000]]}



Entry 4:
{"formula": "Ta2CdBr", "functional": "PBE", "state": "relaxed", "de_polymorph_kj_per_mol_fu": 0, "raw_formation_energy_mev_per_atom": 146, "lattice_angstrom": [[-1.6070, -2.5196, 0.6430], [1.6292, -0.4409, -2.5487], [7.7847, -3.5389, 5.5886]], "species": ["Cd", "Br", "Ta", "Ta"], "frac_coords": [[0.5000, 0.5000, 0.7971], [0.0000, 0.0000, 0.4384], [0.0000, 0.0000, 0.0305], [0.5000, 0.5000, 0.2341]]}



Entry 5:
{"formula": "TaCdBr2", "functional": "PBE", "state": "relaxed", "de_polymorph_kj_per_mol_fu": 370, "raw_formation_energy_mev_per_atom": 748, "lattice_angstrom": [[-1.1692, -2.4133, -3.2454], [3.8621, 1.3090, -2.3648], [2.3647, -3.6340, 1.8504]], "species": ["Cd", "Br", "Br", "Ta"], "frac_coords": [[0.5000, 0.5000, 0.0000], [0.0000, 0.0000, 0.0000], [0.0000, 0.5000, 0.5000], [0.5000, 0.0000, 0.5000]]}



Entry 6:
{"formula": "Ta3CdBr", "functional": "PBE", "state": "relaxed", "de_polymorph_kj_per_mol_fu": 0, "raw_formation_energy_mev_per_atom": 1440, "lattice_angstrom": [[-2.9107, 3.4542, 1.4680], [-3.7529, -2.7029, -1.0811], [0.0492, -1.8224, 4.3857]], "species": ["Cd", "Br", "Ta", "Ta", "Ta"], "frac_coords": [[0.5000, 0.5000, 0.5000], [0.0000, 0.0000, 0.0000], [0.0000, 0.5000, 0.0000], [0.0000, 0.0000, 0.5000], [0.5000, 0.0000, 0.0000]]}